[1]
Compound: DyNi4P2
Source: the Alexandria database
Functional: meta-GGA SCAN
Structure: PBEsol geometry

a = 6.9887 Å, b = 6.9887 Å, c = 3.5661 Å
α = 90.00°, β = 90.00°, γ = 90.00°
With the nearest neighbours (Å) after each atom.
Fractional coordinates of all 14 atoms:
Dy  0.0000  0.0000  0.0000  6 P 2.76-2.81, 8 Ni 3.01
Dy  0.5000  0.5000  0.5000  6 P 2.76-2.81, 8 Ni 3.01
Ni  0.0849  0.3373  0.5000  3 P 2.28, 5 Ni 2.49-2.54
Ni  0.1627  0.5849  0.0000  3 P 2.28, 5 Ni 2.49-2.54
Ni  0.3373  0.0849  0.5000  3 P 2.28, 5 Ni 2.49-2.54
Ni  0.4151  0.8373  0.0000  3 P 2.28, 5 Ni 2.49-2.54
Ni  0.5849  0.1627  0.0000  3 P 2.28, 5 Ni 2.49-2.54
Ni  0.6627  0.9151  0.5000  3 P 2.28, 5 Ni 2.49-2.54
Ni  0.8373  0.4151  0.0000  3 P 2.28, 5 Ni 2.49-2.54
Ni  0.9151  0.6627  0.5000  3 P 2.28, 5 Ni 2.49-2.54
P  0.2204  0.7796  0.5000  6 Ni 2.28
P  0.2796  0.2796  0.0000  6 Ni 2.28
P  0.7204  0.7204  0.0000  6 Ni 2.28
P  0.7796  0.2204  0.5000  6 Ni 2.28

## Properties
As for the total magnetization: 0.00 μB/atom. The calculation puts the energy of formation from the pure elements at -0.86 eV per atom.

---

[2]
Compound: Dy12Ni6Pb
Source: the Alexandria database
Functional: meta-GGA SCAN
Structure: PBEsol geometry

a = 8.2696 Å, b = 8.2696 Å, c = 8.2696 Å
α = 109.47°, β = 109.47°, γ = 109.47°
With the nearest neighbours (Å) after each atom.
Fractional coordinates of all 19 atoms:
Dy  0.1169  0.8122  0.3047  3 Ni 2.59-2.85
Dy  0.1878  0.3047  0.4925  3 Ni 2.59-2.85
Dy  0.1878  0.6953  0.8831  3 Ni 2.59-2.85
Dy  0.3047  0.1169  0.8122  3 Ni 2.59-2.85
Dy  0.3047  0.4925  0.1878  3 Ni 2.59-2.85
Dy  0.4925  0.1878  0.3047  3 Ni 2.59-2.85
Dy  0.5075  0.8122  0.6953  3 Ni 2.59-2.85
Dy  0.6953  0.5075  0.8122  3 Ni 2.59-2.85
Dy  0.6953  0.8831  0.1878  3 Ni 2.59-2.85
Dy  0.8122  0.3047  0.1169  3 Ni 2.59-2.85
Dy  0.8122  0.6953  0.5075  3 Ni 2.59-2.85
Dy  0.8831  0.1878  0.6953  3 Ni 2.59-2.85
Ni  0.1240  0.6240  0.5000  1 Ni 2.37, 2 Dy 2.59
Ni  0.3760  0.5000  0.8760  1 Ni 2.37, 2 Dy 2.59
Ni  0.5000  0.1240  0.6240  1 Ni 2.37, 2 Dy 2.59
Ni  0.5000  0.8760  0.3760  1 Ni 2.37, 2 Dy 2.59
Ni  0.6240  0.5000  0.1240  1 Ni 2.37, 2 Dy 2.59
Ni  0.8760  0.3760  0.5000  1 Ni 2.37, 2 Dy 2.59
Pb  0.0000  0.0000  0.0000  12 Dy 3.42

## Properties
As for the total magnetization: 0.00 μB/atom. The calculation puts the energy of formation from the pure elements at -0.43 eV per atom.

---

[3]
Compound: Dy3NiPd2
Source: the Alexandria database
Functional: meta-GGA SCAN
Structure: PBEsol geometry

a = 5.4370 Å, b = 4.3989 Å, c = 10.3880 Å
α = 90.00°, β = 97.21°, γ = 90.00°
With the nearest neighbours (Å) after each atom.
Fractional coordinates of all 12 atoms:
Dy  0.0982  0.2500  0.2830  5 Pd 2.87-3.02, 2 Ni 2.90
Dy  0.2377  0.2500  0.9566  3 Pd 2.86-2.92, 4 Ni 2.87-2.92
Dy  0.3872  0.2500  0.6242  6 Pd 2.84-2.94, 1 Ni 2.87
Dy  0.6128  0.7500  0.3758  6 Pd 2.84-2.94, 1 Ni 2.87
Dy  0.7623  0.7500  0.0434  3 Pd 2.86-2.92, 4 Ni 2.87-2.92
Dy  0.9018  0.7500  0.7170  5 Pd 2.87-3.02, 2 Ni 2.90
Ni  0.2801  0.7500  0.1389  2 Pd 2.74, 7 Dy 2.87-2.92
Ni  0.7199  0.2500  0.8611  2 Pd 2.74, 7 Dy 2.87-2.92
Pd  0.1462  0.7500  0.4714  2 Pd 2.82, 7 Dy 2.84-3.02
Pd  0.4222  0.7500  0.8099  2 Ni 2.74, 7 Dy 2.86-2.92
Pd  0.5778  0.2500  0.1901  2 Ni 2.74, 7 Dy 2.86-2.92
Pd  0.8538  0.2500  0.5286  2 Pd 2.82, 7 Dy 2.84-3.02

## Properties
As for the total magnetization: 0.00 μB/atom. The calculation puts the energy of formation from the pure elements at -0.82 eV per atom.

---

[4]
Compound: Dy2NiRu
Source: the Alexandria database
Functional: meta-GGA SCAN
Structure: PBEsol geometry

a = 4.7120 Å, b = 4.7120 Å, c = 4.7120 Å
α = 60.00°, β = 60.00°, γ = 60.00°
With the nearest neighbours (Å) after each atom.
Fractional coordinates of all 4 atoms:
Dy  0.2500  0.2500  0.2500  4 Ni 2.89, 4 Ru 2.89
Dy  0.7500  0.7500  0.7500  4 Ru 2.89, 4 Ni 2.89
Ni  0.0000  0.0000  0.0000  8 Dy 2.89
Ru  0.5000  0.5000  0.5000  8 Dy 2.89

## Properties
As for the total magnetization: 0.09 μB/atom. The calculation puts the energy of formation from the pure elements at -0.45 eV per atom.